GGA+U NiGe2HO6, optimized geometry; space group = C2/c, No. 15; total moment = 1.9 μB per cell; E = -112.14 eV for the cell shown
1.0
4.972 -4.711 0.000
4.972 4.711 0.000
-2.021 0.000 4.640
Ni Ge H O
2 4 2 12
Direct
0.091 0.909 0.750
0.909 0.091 0.250
0.229 0.413 0.812
0.413 0.229 0.312
0.587 0.771 0.688
0.771 0.587 0.188
0.258 0.742 0.250
0.742 0.258 0.750
0.058 0.195 0.650
0.161 0.658 0.988
0.195 0.058 0.150
0.303 0.440 0.515
0.342 0.839 0.512
0.440 0.303 0.015
0.560 0.697 0.985
0.658 0.161 0.488
0.697 0.560 0.485
0.805 0.942 0.850
0.839 0.342 0.012
0.942 0.805 0.350